No. 1
Below is a relaxed structure of Ac12Pr7Ho, with properties calculated at the PBE-GGA level.

Energy relative to the elements = 0.62 eV per atom
Energy relative to the lowest polymorph listed for this composition = 439 meV/atom
Crystal system = cubic

Unit cell a=10.624 b=10.624 c=10.624 alpha=109.47 beta=109.47 gamma=109.47
Element x y z (fractional)
Ac 0.512 0.719 0.793
Ac 0.926 0.719 0.207
Ac 0.488 0.281 0.207
Ac 0.074 0.281 0.793
Ac 0.793 0.074 0.281
Ac 0.793 0.512 0.719
Ac 0.207 0.926 0.719
Ac 0.207 0.488 0.281
Ac 0.719 0.793 0.512
Ac 0.281 0.207 0.488
Ac 0.719 0.207 0.926
Ac 0.281 0.793 0.074
Pr 0.500 0.500 0.000
Pr 0.000 0.500 0.500
Pr 0.500 0.000 0.500
Pr 0.500 0.500 0.500
Pr 0.000 0.000 0.500
Pr 0.500 0.000 0.000
Pr 0.000 0.500 0.000
Ho 0.000 0.000 0.000

=====

No. 2
Below is a relaxed structure of BaHf3Ge, with properties calculated at the PBE-GGA level.

Energy relative to the elements = 0.52 eV per atom
Energy relative to the lowest polymorph listed for this composition = 0 meV/atom
Crystal system = cubic

Unit cell a=5.205 b=5.205 c=5.205 alpha=90.00 beta=90.00 gamma=90.00
Element x y z (fractional)
Ge 0.000 0.000 0.000
Hf 0.000 0.500 0.000
Hf 0.000 0.000 0.500
Hf 0.500 0.000 0.000
Ba 0.500 0.500 0.500

=====

No. 3
Below is a relaxed structure of Ca2TaTe4, with properties calculated at the PBE-GGA level.

Crystal system = tetragonal
E_form (uncorrected) = -4.51 eV/f.u.

Unit cell a=5.434 b=5.434 c=8.823 alpha=72.06 beta=72.06 gamma=90.00
Element x y z (fractional)
Ca 0.368 0.368 0.264
Ca 0.632 0.632 0.736
Te 0.178 0.178 0.644
Te 0.822 0.822 0.356
Te 0.000 0.500 0.000
Te 0.500 0.000 0.000
Ta 0.000 0.000 0.000

=====

Sequential magnetization output: 0.023 0.000 0.136 μB/f.u.